Entry 1:
# LiGaS2

An optimized crystal structure of LiGaS2 (GGA-PBE, Alexandria).

The structure in CIF format:
```
data_LiGaS2
_symmetry_space_group_name_H-M 'P m c 21'
_symmetry_Int_Tables_number 26
_cell_length_a 3.743
_cell_length_b 6.939
_cell_length_c 6.303
_cell_angle_alpha 90.00
_cell_angle_beta 90.00
_cell_angle_gamma 90.00
loop_
_symmetry_equiv_pos_as_xyz
'x,y,z'
'-x,-y,z+1/2'
'-x,y,z'
'x,-y,z+1/2'
loop_
_atom_site_label
_atom_site_type_symbol
_atom_site_fract_x
_atom_site_fract_y
_atom_site_fract_z
_atom_site_occupancy
Li1 Li 0.000 0.166 0.000 1
Ga1 Ga 0.500 0.347 0.499 1
S1 S 0.000 0.176 0.388 1
S2 S 0.500 0.347 0.866 1
```

DOS(E_F) = 0.00 states/eV per cell
E_form (uncorrected) = -1.02 eV/atom



Entry 2:
# NaZrSb2

An optimized crystal structure of NaZrSb2 (GGA-PBE, Alexandria).

The structure in CIF format:
```
data_NaZrSb2
_symmetry_space_group_name_H-M 'I -4 2 d'
_symmetry_Int_Tables_number 122
_symmetry_space_group_name_Hall 'I -4 2bw'
_cell_length_a 6.435
_cell_length_b 6.435
_cell_length_c 15.628
_cell_angle_alpha 90.00
_cell_angle_beta 90.00
_cell_angle_gamma 90.00
loop_
_atom_site_label
_atom_site_type_symbol
_atom_site_fract_x
_atom_site_fract_y
_atom_site_fract_z
_atom_site_occupancy
Na1 Na 0.000 0.000 0.000 1
Zr1 Zr 0.000 0.000 0.500 1
Sb1 Sb 0.180 0.250 0.625 1
```

DOS(E_F) = 11.28 states/eV per cell
E_form (uncorrected) = 0.03 eV/atom